1.
The following is a DFT calculation (PBEsol) of AlTlSe2 after structural relaxation. Values from VASP.

Properties
formation energy without anion corrections: -0.61 eV/atom
density: 5.980 g cm⁻³
total magnetization: 0.000 μB/cell
crystal system: orthorhombic

Structure (Quantum ESPRESSO input):
```
&SYSTEM
  ibrav = 0, nat = 4, ntyp = 3
/
ATOMIC_SPECIES
Al 26.98 Al.upf
Tl 204.38 Tl.upf
Se 78.96 Se.upf
ATOMIC_POSITIONS angstrom
Al 0.7247 1.9357 0.0574
Tl 0.7350 0.0000 3.3508
Se -1.1845 0.0000 5.8771
Se 2.6630 1.9357 1.5404
CELL_PARAMETERS angstrom
3.8649 0.0000 -0.0145
0.0000 3.8714 0.0000
-1.9061 0.0000 7.2317
```

=====

2.
The following is a DFT calculation (PBEsol) of AlWSe2 after structural relaxation. Values from VASP.

Properties
formation energy without anion corrections: -0.05 eV/atom
density: 6.999 g cm⁻³
total magnetization: 0.000 μB/cell
N(E_F): 0.53 states/eV per atom
crystal system: monoclinic

Structure (Quantum ESPRESSO input):
```
&SYSTEM
  ibrav = 0, nat = 4, ntyp = 3
/
ATOMIC_SPECIES
Al 26.98 Al.upf
Se 78.96 Se.upf
W 183.84 W.upf
ATOMIC_POSITIONS angstrom
Al 1.5531 1.7545 2.0617
Se 0.0000 0.2030 3.8893
Se 0.0000 -0.0136 0.5446
W 1.5531 -0.9094 2.2850
CELL_PARAMETERS angstrom
3.1062 0.0000 0.0000
-1.5531 4.8125 0.0082
0.0000 -2.5187 5.8482
```

=====

3.
The following is a DFT calculation (PBEsol) of AlWSe2 after structural relaxation. Values from VASP.

Properties
formation energy without anion corrections: 0.04 eV/atom
density: 8.819 g cm⁻³
total magnetization: 0.000 μB/cell
N(E_F): 0.46 states/eV per atom
crystal system: tetragonal

Structure (Quantum ESPRESSO input):
```
&SYSTEM
  ibrav = 0, nat = 4, ntyp = 3
/
ATOMIC_SPECIES
W 183.84 W.upf
Al 26.98 Al.upf
Se 78.96 Se.upf
ATOMIC_POSITIONS angstrom
W -0.7884 0.1821 2.0326
Al 2.5479 -0.3019 3.3701
Se 5.2607 -0.7631 2.1090
Se 1.4119 -0.2048 0.5660
CELL_PARAMETERS angstrom
-0.4501 2.3426 1.9703
-1.1268 -1.9784 2.0949
6.6726 -0.9679 2.6750
```

=====

4.
The following is a DFT calculation (PBEsol) of Al4WSe after structural relaxation. Values from VASP.

Properties
formation energy without anion corrections: 0.27 eV/atom
density: 6.481 g cm⁻³
total magnetization: 0.000 μB/cell
N(E_F): 0.37 states/eV per atom
crystal system: cubic

Structure (Quantum ESPRESSO input):
```
&SYSTEM
  ibrav = 0, nat = 6, ntyp = 3
/
ATOMIC_SPECIES
Se 78.96 Se.upf
Al 26.98 Al.upf
W 183.84 W.upf
ATOMIC_POSITIONS angstrom
Se -2.8747 -4.3764 7.8173
Al -2.4001 -4.3742 4.8508
Al -0.7221 -2.9994 6.2375
Al -1.4348 -2.1843 3.9016
Al -3.1089 -2.1125 5.8563
W 0.0000 0.0000 0.0000
CELL_PARAMETERS angstrom
-1.9203 -4.3563 1.8881
1.4176 -1.6216 4.6466
-3.3303 0.1427 3.8883
```

=====

5.
The following is a DFT calculation (PBEsol) of Y2AlSe after structural relaxation. Values from VASP.

Properties
relative energy among the computed polymorphs: 12.7 kJ per mole of atoms
formation energy without anion corrections: -0.93 eV/atom
density: 5.225 g cm⁻³
total magnetization: 0.000 μB/cell
N(E_F): 0.71 states/eV per atom
crystal system: tetragonal

Structure (Quantum ESPRESSO input):
```
&SYSTEM
  ibrav = 0, nat = 4, ntyp = 3
/
ATOMIC_SPECIES
Y 88.91 Y.upf
Al 26.98 Al.upf
Se 78.96 Se.upf
ATOMIC_POSITIONS angstrom
Y 0.0163 -2.8532 5.1306
Y 0.0051 -0.8883 1.5973
Al -1.8253 -3.2511 2.6022
Se -1.8360 -1.3804 -0.7618
CELL_PARAMETERS angstrom
-3.4126 0.2221 0.1344
-0.2594 -2.9828 -1.6580
0.0214 -3.7415 6.7279
```

=====

6.
The following is a DFT calculation (PBEsol) of Y2AlSe after structural relaxation. Values from VASP.

Properties
relative energy among the computed polymorphs: 0.0 kJ per mole of atoms
formation energy without anion corrections: -1.07 eV/atom
density: 4.831 g cm⁻³
total magnetization: 0.000 μB/cell
N(E_F): 0.47 states/eV per atom
crystal system: trigonal

Structure (Quantum ESPRESSO input):
```
&SYSTEM
  ibrav = 0, nat = 4, ntyp = 3
/
ATOMIC_SPECIES
Y 88.91 Y.upf
Se 78.96 Se.upf
Al 26.98 Al.upf
ATOMIC_POSITIONS angstrom
Y 5.7842 3.3395 5.8030
Y 1.9281 1.1132 1.7708
Se 0.0000 0.0000 0.0000
Al 3.8561 2.2263 3.7869
CELL_PARAMETERS angstrom
3.8561 0.0000 0.0000
1.9281 3.3395 0.0000
1.9281 1.1132 7.5738
```

=====

7.
The following is a DFT calculation (PBEsol) of Y2AlSe after structural relaxation. Values from VASP.

Properties
relative energy among the computed polymorphs: 26.3 kJ per mole of atoms
formation energy without anion corrections: -0.79 eV/atom
density: 4.884 g cm⁻³
total magnetization: 0.000 μB/cell
N(E_F): 0.55 states/eV per atom
crystal system: orthorhombic

Structure (Quantum ESPRESSO input):
```
&SYSTEM
  ibrav = 0, nat = 4, ntyp = 3
/
ATOMIC_SPECIES
Y 88.91 Y.upf
Se 78.96 Se.upf
Al 26.98 Al.upf
ATOMIC_POSITIONS angstrom
Y 1.8005 0.0000 2.7150
Y 1.8005 2.2676 5.4827
Se 0.0000 2.2676 3.1771
Al 1.8005 2.2676 0.4398
CELL_PARAMETERS angstrom
3.6010 0.0000 0.0000
0.0000 4.5353 0.0000
-1.8005 -2.2676 5.9073
```

=====

8.
The following is a DFT calculation (PBEsol) of Al2ZnSe4 after structural relaxation. Values from VASP.

Properties
formation energy without anion corrections: -0.81 eV/atom
density: 4.922 g cm⁻³
total magnetization: 0.000 μB/cell
N(E_F): 0.00 states/eV per atom
crystal system: cubic

Structure (Quantum ESPRESSO input):
```
&SYSTEM
  ibrav = 0, nat = 14, ntyp = 3
/
ATOMIC_SPECIES
Se 78.96 Se.upf
Zn 65.41 Zn.upf
Al 26.98 Al.upf
ATOMIC_POSITIONS angstrom
Se -4.4219 -1.8217 -4.6809
Se -6.7681 -4.7840 -5.9737
Se -10.6730 -4.3970 -11.2983
Se -7.9706 -0.9907 -6.3140
Se -4.9912 -2.3536 -8.5981
Se -10.1036 -3.8651 -7.3811
Se -7.1242 -5.2280 -9.6652
Se -8.3268 -1.4347 -10.0055
Zn -6.0379 -2.4875 -6.3917
Zn -9.0569 -3.7312 -9.5875
Al -2.0413 -1.1187 -5.2567
Al -3.7009 -3.3888 -2.8055
Al -1.5095 -0.6219 -1.5979
Al -4.8242 0.1544 -3.1233
CELL_PARAMETERS angstrom
-1.0636 -0.9936 -7.3176
-4.3829 -5.5338 -2.4151
-6.6293 1.5524 -3.0507
```